# Tb3Gd3Cd2 PBE-GGA relaxed
data_Tb3Gd3Cd2
_chemical_formula_sum 'Tb3 Gd3 Cd2'
_cell_length_a 6.9496
_cell_length_b 6.9496
_cell_length_c 5.4849
_cell_angle_alpha 90.00
_cell_angle_beta 90.00
_cell_angle_gamma 120.00
_symmetry_space_group_name_H-M 'P -6 m 2'
_symmetry_Int_Tables_number 187
_symmetry_space_group_name_Hall 'P -6 2'
loop_
_atom_site_label
_atom_site_fract_x
_atom_site_fract_y
_atom_site_fract_z
_atom_site_occupancy
Tb1 0.1720 0.3440 0.0000 1
Gd1 0.3446 0.1723 0.5000 1
Cd1 0.3333 0.6667 0.5000 1
Cd2 0.6667 0.3333 0.0000 1
# Formation energy from the elements: -105 meV per atom
# Total DFT energy (no corrections): -3.8103 eV/atom